Record 1
VASP calculation (PBE) on HoReGe after structural relaxation.

Values from the calculation:
calculated total energy: -84.3 eV for the cell shown

Cell: 6.261 6.261 6.261 Å, 90.00 90.00 90.00°
Fractional positions:
1 Ho 0.000 0.000 0.000
2 Ho 0.000 0.500 0.500
3 Ho 0.500 0.000 0.500
4 Ho 0.500 0.500 0.000
5 Re 0.000 0.000 0.500
6 Re 0.000 0.500 0.000
7 Re 0.500 0.000 0.000
8 Re 0.500 0.500 0.500
9 Ge 0.250 0.250 0.250
10 Ge 0.250 0.750 0.750
11 Ge 0.750 0.250 0.750
12 Ge 0.750 0.750 0.250



Record 2
VASP calculation (PBE) on TaGe2Ir2 after structural relaxation.

Values from the calculation:
calculated total energy: -164.6 eV for the cell shown

Cell: 8.580 12.641 2.950 Å, 90.00 90.00 90.00°
Fractional positions:
1 Ta 0.109 0.131 0.000
2 Ta 0.391 0.631 0.500
3 Ta 0.609 0.369 0.500
4 Ta 0.891 0.869 0.000
5 Ge 0.116 0.560 0.000
6 Ge 0.206 0.317 0.500
7 Ge 0.294 0.817 0.000
8 Ge 0.384 0.060 0.500
9 Ge 0.616 0.940 0.500
10 Ge 0.706 0.183 0.000
11 Ge 0.794 0.683 0.500
12 Ge 0.884 0.440 0.000
13 Ir 0.083 0.722 0.500
14 Ir 0.144 0.944 0.500
15 Ir 0.356 0.444 0.000
16 Ir 0.417 0.222 0.000
17 Ir 0.583 0.778 0.000
18 Ir 0.644 0.556 0.000
19 Ir 0.856 0.056 0.500
20 Ir 0.917 0.278 0.500



Record 3
VASP calculation (PBE) on Y3Mg3CdCuAg after structural relaxation.

Values from the calculation:
calculated total energy: -33.8 eV for the cell shown

Cell: 7.654 7.654 4.154 Å, 90.00 90.00 120.00°
Fractional positions:
1 Y 0.074 0.732 0.000
2 Y 0.268 0.342 0.000
3 Y 0.658 0.926 0.000
4 Mg 0.430 0.096 0.500
5 Mg 0.666 0.570 0.500
6 Mg 0.904 0.334 0.500
7 Cd 0.000 0.000 0.500
8 Cu 0.667 0.333 0.000
9 Ag 0.333 0.667 0.500



Record 4
VASP calculation (PBE) on NaMgFeRe after structural relaxation.

Values from the calculation:
energy above the lowest structure with this stoichiometry: 0.00 kcal/mol of atoms
calculated total energy: -81.9 eV for the cell shown

Cell: 6.146 6.146 6.146 Å, 90.00 90.00 90.00°
Fractional positions:
1 Na 0.000 0.000 0.000
2 Na 0.000 0.500 0.500
3 Na 0.500 0.000 0.500
4 Na 0.500 0.500 0.000
5 Mg 0.250 0.250 0.750
6 Mg 0.250 0.750 0.250
7 Mg 0.750 0.250 0.250
8 Mg 0.750 0.750 0.750
9 Fe 0.000 0.000 0.500
10 Fe 0.000 0.500 0.000
11 Fe 0.500 0.000 0.000
12 Fe 0.500 0.500 0.500
13 Re 0.250 0.250 0.250
14 Re 0.250 0.750 0.750
15 Re 0.750 0.250 0.750
16 Re 0.750 0.750 0.250



Record 5
VASP calculation (PBE) on HfIn2AgBr6 after structural relaxation.

Values from the calculation:
calculated total energy: -36.0 eV for the cell shown

Cell: 7.584 7.584 8.004 Å, 121.10 121.10 59.96°
Fractional positions:
1 Hf 0.000 0.000 0.000
2 In 0.245 0.245 0.763
3 In 0.755 0.755 0.237
4 Ag 0.500 0.500 0.500
5 Br 0.187 0.695 0.169
6 Br 0.240 0.240 0.342
7 Br 0.305 0.813 0.831
8 Br 0.695 0.187 0.169
9 Br 0.760 0.760 0.658
10 Br 0.813 0.305 0.831



Record 6
VASP calculation (PBE) on BeFeSiAg after structural relaxation.

Values from the calculation:
energy above the lowest structure with this stoichiometry: 2.98 kcal/mol of atoms
calculated total energy: -76.5 eV for the cell shown

Cell: 5.844 5.844 5.844 Å, 90.00 90.00 90.00°
Fractional positions:
1 Be 0.000 0.000 0.000
2 Be 0.000 0.500 0.500
3 Be 0.500 0.000 0.500
4 Be 0.500 0.500 0.000
5 Fe 0.000 0.000 0.500
6 Fe 0.000 0.500 0.000
7 Fe 0.500 0.000 0.000
8 Fe 0.500 0.500 0.500
9 Si 0.250 0.250 0.250
10 Si 0.250 0.750 0.750
11 Si 0.750 0.250 0.750
12 Si 0.750 0.750 0.250
13 Ag 0.250 0.250 0.750
14 Ag 0.250 0.750 0.250
15 Ag 0.750 0.250 0.250
16 Ag 0.750 0.750 0.750



Record 7
VASP calculation (PBE) on Y2Al2Zn after structural relaxation.

Values from the calculation:
calculated total energy: -40.0 eV for the cell shown

Cell: 4.683 4.683 12.449 Å, 90.00 90.00 90.00°
Fractional positions:
1 Y 0.000 0.500 0.250
2 Y 0.000 0.500 0.750
3 Y 0.500 0.000 0.250
4 Y 0.500 0.000 0.750
5 Al 0.000 0.000 0.097
6 Al 0.000 0.000 0.903
7 Al 0.500 0.500 0.403
8 Al 0.500 0.500 0.597
9 Zn 0.000 0.000 0.500
10 Zn 0.500 0.500 0.000



Record 8
VASP calculation (PBE) on NpReSn after structural relaxation.

Values from the calculation:
calculated total energy: -104.6 eV for the cell shown

Cell: 6.629 6.629 6.629 Å, 90.00 90.00 90.00°
Fractional positions:
1 Np 0.000 0.000 0.000
2 Np 0.000 0.500 0.500
3 Np 0.500 0.000 0.500
4 Np 0.500 0.500 0.000
5 Re 0.000 0.000 0.500
6 Re 0.000 0.500 0.000
7 Re 0.500 0.000 0.000
8 Re 0.500 0.500 0.500
9 Sn 0.250 0.250 0.250
10 Sn 0.250 0.750 0.750
11 Sn 0.750 0.250 0.750
12 Sn 0.750 0.750 0.250



Record 9
VASP calculation (PBE) on MoAs2C after structural relaxation.

Values from the calculation:
calculated total energy: -52.0 eV for the cell shown

Cell: 3.091 3.091 13.128 Å, 90.00 90.00 120.00°
Fractional positions:
1 Mo 0.333 0.667 0.250
2 Mo 0.667 0.333 0.750
3 As 0.333 0.667 0.603
4 As 0.333 0.667 0.897
5 As 0.667 0.333 0.103
6 As 0.667 0.333 0.397
7 C 0.000 0.000 0.000
8 C 0.000 0.000 0.500



Record 10
VASP calculation (PBE) on Hf2BW after structural relaxation.

Values from the calculation:
calculated total energy: -147.4 eV for the cell shown

Cell: 6.347 6.347 6.347 Å, 90.00 90.00 90.00°
Fractional positions:
1 Hf 0.000 0.000 0.000
2 Hf 0.000 0.500 0.500
3 Hf 0.250 0.250 0.250
4 Hf 0.250 0.750 0.750
5 Hf 0.500 0.000 0.500
6 Hf 0.500 0.500 0.000
7 Hf 0.750 0.250 0.750
8 Hf 0.750 0.750 0.250
9 B 0.000 0.000 0.500
10 B 0.000 0.500 0.000
11 B 0.500 0.000 0.000
12 B 0.500 0.500 0.500
13 W 0.250 0.250 0.750
14 W 0.250 0.750 0.250
15 W 0.750 0.250 0.250
16 W 0.750 0.750 0.750



Record 11
VASP calculation (PBE) on GdSiO3 after structural relaxation.

Values from the calculation:
calculated total energy: -73.9 eV for the cell shown

Cell: 5.218 5.225 3.677 Å, 90.00 90.00 90.00°
Fractional positions:
1 Gd 0.000 0.000 0.000
2 Gd 0.500 0.500 0.000
3 Si 0.000 0.500 0.500
4 Si 0.500 0.000 0.500
5 O 0.000 0.500 0.000
6 O 0.250 0.250 0.500
7 O 0.250 0.750 0.500
8 O 0.500 0.000 0.000
9 O 0.750 0.250 0.500
10 O 0.750 0.750 0.500



> Which value of calculated total energy does entry 2 give?

-164.6 eV for the cell shown